Record 1
Below is a relaxed structure of La5ErBi4, with properties calculated at the PBE level.

Calculated values
Space group ... C2/m, No. 12
Spin magnetization ... 0.001 Bohr magnetons per cell
Energy of formation ... -0.623 eV per atom

abc: 10.1418 10.1418 8.9611
angles: 104.23 104.23 25.82
Positions (direct):
La: 0.0000 0.0000 0.0000
La: 0.3259 0.3259 0.1523
La: 0.3342 0.3342 0.6791
La: 0.6658 0.6658 0.3209
La: 0.6741 0.6741 0.8477
Er: 0.0000 0.0000 0.5000
Bi: 0.1648 0.1648 0.5820
Bi: 0.4949 0.4949 0.2553
Bi: 0.5051 0.5051 0.7447
Bi: 0.8352 0.8352 0.4180


Record 2
Below is a relaxed structure of Ba7As2P2, with properties calculated at the PBE level.

Calculated values
Space group ... Cmmm, No. 65
Spin magnetization ... 0.991 Bohr magnetons per cell
Energy of formation ... -0.787 eV per atom

abc: 7.8202 7.8202 7.8794
angles: 90.00 90.00 95.22
Positions (direct):
Ba: 0.0000 0.0000 0.0000
Ba: 0.0000 0.5000 0.2544
Ba: 0.0000 0.5000 0.7456
Ba: 0.5000 0.0000 0.2544
Ba: 0.5000 0.0000 0.7456
Ba: 0.5000 0.5000 0.2349
Ba: 0.5000 0.5000 0.7651
As: 0.2578 0.2578 0.5000
As: 0.7422 0.7422 0.5000
P: 0.2700 0.7300 0.0000
P: 0.7300 0.2700 0.0000


Record 3
Below is a relaxed structure of Li2Al3Pt2, with properties calculated at the PBE level.

Calculated values
Space group ... P-1, No. 2
Spin magnetization ... 0.000 Bohr magnetons per cell
Energy of formation ... -0.674 eV per atom

abc: 4.3147 4.3250 7.1302
angles: 90.89 106.34 119.54
Positions (direct):
Li: 0.2324 0.3627 0.0906
Li: 0.7676 0.6373 0.9094
Al: 0.0526 0.7750 0.3225
Al: 0.5000 0.5000 0.5000
Al: 0.9474 0.2250 0.6775
Pt: 0.3030 0.9019 0.7119
Pt: 0.6970 0.0981 0.2881


Record 4
Below is a relaxed structure of P2HPbAu, with properties calculated at the PBE level.

Calculated values
Space group ... P4/mmm, No. 123
Energy ... -3.30 eV per atom
Spin magnetization ... 0.000 Bohr magnetons per cell

abc: 5.2531 5.2531 3.5690
angles: 90.00 90.00 90.00
Positions (direct):
P: 0.0000 0.5000 0.0000
P: 0.5000 0.0000 0.0000
H: 0.0000 0.0000 0.5000
Pb: 0.0000 0.0000 0.0000
Au: 0.5000 0.5000 0.5000


Record 5
Below is a relaxed structure of La2InW, with properties calculated at the PBE level.

Calculated values
Space group ... Cm, No. 8
Spin magnetization ... 0.000 Bohr magnetons per cell
Energy of formation ... 0.308 eV per atom

abc: 6.2414 6.2414 5.7600
angles: 104.95 104.95 29.50
Positions (direct):
La: 0.0000 0.0000 0.0000
La: 0.1912 0.1912 0.6457
In: 0.4279 0.4279 0.4616
W: 0.7429 0.7429 0.1629


Record 6
Below is a relaxed structure of Tm5Zn4Tc, with properties calculated at the PBE level.

Calculated values
Space group ... P4/mmm, No. 123
Spin magnetization ... 0.000 Bohr magnetons per cell
Energy of formation ... -0.300 eV per atom

abc: 3.4909 3.4909 17.5390
angles: 90.00 90.00 90.00
Positions (direct):
Tm: 0.0000 0.0000 0.0000
Tm: 0.0000 0.0000 0.2021
Tm: 0.0000 0.0000 0.4092
Tm: 0.0000 0.0000 0.5908
Tm: 0.0000 0.0000 0.7979
Zn: 0.5000 0.5000 0.1010
Zn: 0.5000 0.5000 0.3042
Zn: 0.5000 0.5000 0.6958
Zn: 0.5000 0.5000 0.8990
Tc: 0.5000 0.5000 0.5000